1.
Zr2ScPt2, optimized geometry, DFT PBE-GGA; energy of formation from the pure elements = -88 kJ per mole of atoms
1.0
7.600 0.000 0.000
0.000 7.600 0.000
0.000 0.000 3.458
Zr Sc Pt
4 2 4
Direct
0.168 0.332 0.000 Zr
0.332 0.832 0.000 Zr
0.668 0.168 0.000 Zr
0.832 0.668 0.000 Zr
0.000 0.000 0.500 Sc
0.500 0.500 0.500 Sc
0.132 0.632 0.500 Pt
0.368 0.132 0.500 Pt
0.632 0.868 0.500 Pt
0.868 0.368 0.500 Pt


2.
DyHfBi, optimized geometry, DFT PBE-GGA; E_tot = -72.51 eV/cell
1.0
7.052 0.000 0.000
0.000 7.052 0.000
0.000 0.000 7.052
Dy Hf Bi
4 4 4
Direct
0.000 0.000 0.000 Dy
0.000 0.500 0.500 Dy
0.500 0.000 0.500 Dy
0.500 0.500 0.000 Dy
0.000 0.000 0.500 Hf
0.000 0.500 0.000 Hf
0.500 0.000 0.000 Hf
0.500 0.500 0.500 Hf
0.250 0.250 0.250 Bi
0.250 0.750 0.750 Bi
0.750 0.250 0.750 Bi
0.750 0.750 0.250 Bi


3.
NaLuPO, optimized geometry, DFT PBE-GGA; energy above the lowest structure with this stoichiometry = 32 meV per atom
1.0
3.778 0.000 0.000
0.000 3.778 0.000
0.000 0.000 9.974
Na Lu P O
2 2 2 2
Direct
0.250 0.750 0.000 Na
0.750 0.250 0.000 Na
0.250 0.250 0.392 Lu
0.750 0.750 0.608 Lu
0.250 0.250 0.788 P
0.750 0.750 0.212 P
0.250 0.750 0.500 O
0.750 0.250 0.500 O


4.
CsScCdTe3, optimized geometry, DFT PBE-GGA; E_tot = -46.78 eV/cell
1.0
9.583 0.000 0.000
0.000 4.414 0.000
-4.328 0.000 10.478
Cs Sc Cd Te
2 2 2 6
Direct
0.242 0.250 0.271 Cs
0.758 0.750 0.729 Cs
0.328 0.750 0.869 Sc
0.672 0.250 0.131 Sc
0.078 0.250 0.615 Cd
0.922 0.750 0.385 Cd
0.116 0.250 0.871 Te
0.243 0.750 0.567 Te
0.471 0.750 0.141 Te
0.529 0.250 0.859 Te
0.757 0.250 0.433 Te
0.884 0.750 0.129 Te